HgPd2SF: relaxed, GGA-PBE.

Computed properties:
E   -18.079 eV/cell
Raw formation energy   -26.9 kJ per mole of atoms
Space group   P4/mmm, No. 123
Total moment   0.00 μB per cell
Calculated volume   89 Å³ per cell

Geometry as POSCAR:
```
HgPd2SF
1.0
4.5757 0.0000 0.0000
0.0000 4.2437 0.0000
0.0000 0.0000 4.5757
Hg Pd S F
1 2 1 1
Cartesian
2.2879 2.1218 2.2879 Hg
2.2879 0.0000 0.0000 Pd
0.0000 0.0000 2.2879 Pd
0.0000 0.0000 0.0000 S
0.0000 2.1218 0.0000 F
```